Entry 1:
Ce3As5S12: optimized geometry, GGA-PBE.

Structure (POSCAR):
```
Ce3As5S12
1.0
-9.7847 4.2750 -8.3997
10.2938 -5.0920 -7.2581
-4.9589 -9.6304 8.1997
Ce S As
12 48 20
direct
0.1250 0.8750 0.7500 Ce
0.1250 0.2500 0.8750 Ce
0.2500 0.1250 0.3750 Ce
0.7500 0.3750 0.1250 Ce
0.2500 0.6250 0.8750 Ce
0.3750 0.6250 0.2500 Ce
0.8750 0.7500 0.1250 Ce
0.8750 0.1250 0.2500 Ce
0.7500 0.8750 0.6250 Ce
0.6250 0.3750 0.7500 Ce
0.6250 0.2500 0.3750 Ce
0.3750 0.7500 0.6250 Ce
0.0827 0.9104 0.3716 S
0.3716 0.4104 0.0827 S
0.1284 0.4173 0.0896 S
0.4104 0.0388 0.3277 S
0.4173 0.1284 0.5896 S
0.0896 0.1723 0.4612 S
0.1723 0.0896 0.9612 S
0.9612 0.5896 0.1723 S
0.7889 0.4612 0.3716 S
0.7889 0.3277 0.9173 S
0.9173 0.8277 0.7889 S
0.7111 0.1284 0.0388 S
0.2111 0.6723 0.0827 S
0.5388 0.2111 0.1284 S
0.0896 0.9173 0.1284 S
0.9104 0.8277 0.5388 S
0.5827 0.7111 0.6723 S
0.5896 0.6284 0.4173 S
0.6723 0.2111 0.5827 S
0.1723 0.0827 0.7111 S
0.8716 0.2889 0.4612 S
0.9104 0.0827 0.8716 S
0.0827 0.1723 0.2111 S
0.4173 0.2889 0.3277 S
0.2111 0.5388 0.6284 S
0.8277 0.9173 0.2889 S
0.3277 0.7889 0.4173 S
0.9173 0.0896 0.6284 S
0.4612 0.6723 0.0896 S
0.5896 0.9612 0.6723 S
0.0388 0.4104 0.8277 S
0.0388 0.6284 0.7111 S
0.3716 0.9612 0.7889 S
0.3277 0.5388 0.4104 S
0.2889 0.8716 0.9612 S
0.1284 0.7111 0.5388 S
0.8716 0.5827 0.9104 S
0.5827 0.8716 0.4104 S
0.6284 0.5896 0.9173 S
0.2889 0.4173 0.8277 S
0.6723 0.4612 0.5896 S
0.6284 0.0388 0.2111 S
0.4104 0.3716 0.5827 S
0.8277 0.9104 0.0388 S
0.9612 0.3716 0.2889 S
0.4612 0.7889 0.8716 S
0.5388 0.3277 0.9104 S
0.7111 0.5827 0.1723 S
0.5000 0.5000 0.5000 As
0.0000 0.5000 0.0000 As
0.1250 0.7500 0.3750 As
0.5000 0.0000 0.5000 As
0.0000 0.5000 0.5000 As
0.3750 0.2500 0.1250 As
0.8750 0.6250 0.7500 As
0.7500 0.1250 0.8750 As
0.2500 0.8750 0.1250 As
0.6250 0.8750 0.2500 As
0.1250 0.3750 0.2500 As
0.0000 0.0000 0.0000 As
0.7500 0.6250 0.3750 As
0.0000 0.0000 0.5000 As
0.6250 0.7500 0.8750 As
0.5000 0.5000 0.0000 As
0.5000 0.0000 0.0000 As
0.3750 0.1250 0.7500 As
0.8750 0.2500 0.6250 As
0.2500 0.3750 0.6250 As
```

Computed properties:
SG: Ia-3d (230)
Formation energy (no corrections): -67 kJ per mole of atoms

Entry 2:
CaIrOs3: optimized geometry, GGA-PBE.

Structure (POSCAR):
```
CaIrOs3
1.0
4.7768 0.0000 0.0000
0.0000 4.7768 0.0000
0.0000 0.0000 4.7768
Ir Ca Os
1 1 3
direct
0.0000 0.0000 0.0000 Ir
0.5000 0.5000 0.5000 Ca
0.0000 0.0000 0.5000 Os
0.5000 0.0000 0.0000 Os
0.0000 0.5000 0.0000 Os
```

Computed properties:
SG: Pm-3m (221)
Formation enthalpy at 0 K: 1.629 eV/atom

Entry 3:
ThVFe4: optimized geometry, GGA-PBE.

Structure (POSCAR):
```
ThVFe4
1.0
-2.6526 -2.2055 3.6478
2.1768 -1.0568 4.3991
-1.2567 2.5949 4.1103
V Th Fe
1 1 4
direct
0.2500 0.2500 0.2500 V
0.0000 0.0000 0.0000 Th
0.6242 0.6242 0.1274 Fe
0.1274 0.6242 0.6242 Fe
0.6242 0.1274 0.6242 Fe
0.6242 0.6242 0.6242 Fe
```

Computed properties:
SG: F-43m (216)
Formation enthalpy at 0 K: 0.056 eV/atom

Entry 4:
V2Ru3Rh3: optimized geometry, GGA-PBE.

Structure (POSCAR):
```
V2Ru3Rh3
1.0
3.8121 0.0000 0.0000
0.0000 3.8025 0.0000
0.0000 0.0000 7.6187
Rh V Ru
3 2 3
direct
0.5000 0.5000 0.2496 Rh
0.5000 0.5000 0.7504 Rh
0.5000 0.0000 0.0000 Rh
0.0000 0.0000 0.7486 V
0.0000 0.0000 0.2514 V
0.5000 0.0000 0.5000 Ru
0.0000 0.5000 0.0000 Ru
0.0000 0.5000 0.5000 Ru
```

Computed properties:
SG: Pmmm (47)
Formation enthalpy at 0 K: -0.240 eV/atom

Entry 5:
CaLaCe2N4: optimized geometry, GGA-PBE.

Structure (POSCAR):
```
CaLaCe2N4
1.0
3.6204 0.0000 0.0000
0.0000 6.2305 -0.1345
0.0000 2.1808 5.8436
Ca La N Ce
1 1 4 2
direct
0.0000 0.5000 0.5000 Ca
0.5000 0.5000 0.0000 La
0.5000 0.2232 0.7612 N
0.0000 0.7732 0.7433 N
0.5000 0.7768 0.2388 N
0.0000 0.2268 0.2567 N
0.5000 0.0000 0.5000 Ce
0.0000 0.0000 0.0000 Ce
```

Computed properties:
SG: P2/m (10)
Formation energy (no corrections): -131 kJ per mole of atoms

Entry 6:
BeBi2RuC: optimized geometry, GGA-PBE.

Structure (POSCAR):
```
BeBi2RuC
1.0
4.9514 0.0000 0.0000
0.0000 4.0519 0.0000
0.0000 0.0000 4.9514
C Bi Ru Be
1 2 1 1
direct
0.5000 0.5000 0.5000 C
0.5000 0.0000 0.0000 Bi
0.0000 0.0000 0.5000 Bi
0.0000 0.5000 0.0000 Ru
0.0000 0.0000 0.0000 Be
```

Computed properties:
SG: P4/mmm (123)
Formation enthalpy at 0 K: 1.715 eV/atom

Entry 7:
NdSn2Ge: optimized geometry, GGA-PBE.

Structure (POSCAR):
```
NdSn2Ge
1.0
-0.1340 -0.9569 3.4114
-1.5624 -3.0447 0.9271
8.6731 -6.3966 0.3889
Nd Sn Ge
1 2 1
direct
0.0000 0.0000 0.0000 Nd
0.8994 0.8994 0.3018 Sn
0.1006 0.1006 0.6982 Sn
0.5000 0.5000 0.5000 Ge
```

Computed properties:
SG: R-3m (166)
Formation enthalpy at 0 K: 0.149 eV/atom

Entry 8:
KSnGeTe3: optimized geometry, GGA-PBE.

Structure (POSCAR):
```
KSnGeTe3
1.0
-0.3273 0.4592 4.9476
-9.0712 -0.2103 -0.5806
2.8003 -9.6624 1.0820
Te K Ge Sn
6 2 2 2
direct
0.2500 0.0633 0.8694 Te
0.7500 0.1949 0.5496 Te
0.7500 0.4995 0.1920 Te
0.2500 0.8051 0.4504 Te
0.2500 0.5005 0.8080 Te
0.7500 0.9367 0.1306 Te
0.7500 0.7627 0.7488 K
0.2500 0.2373 0.2512 K
0.7500 0.8970 0.3801 Ge
0.2500 0.1030 0.6199 Ge
0.7500 0.3258 0.8943 Sn
0.2500 0.6742 0.1057 Sn
```

Computed properties:
SG: P2_1/m (11)
Formation energy (no corrections): -37 kJ per mole of atoms

Entry 9:
Cs2LiPa2O7: optimized geometry, GGA-PBE.

Structure (POSCAR):
```
Cs2LiPa2O7
1.0
4.4033 -0.0031 0.0114
0.0022 4.4033 0.0114
2.1715 2.1688 12.0037
O Pa Cs Li
7 2 2 1
direct
0.6742 0.6742 0.6516 O
0.5849 0.0849 0.8303 O
0.3258 0.3258 0.3484 O
0.9151 0.4151 0.1697 O
0.0849 0.5849 0.8303 O
0.5000 0.5000 0.0000 O
0.4151 0.9151 0.1697 O
0.5891 0.5891 0.8219 Pa
0.4109 0.4109 0.1781 Pa
0.8095 0.8095 0.3811 Cs
0.1905 0.1905 0.6189 Cs
0.0000 0.0000 0.0000 Li
```

Computed properties:
SG: I4/mmm (139)
Formation energy (no corrections): -256 kJ per mole of atoms

Entry 10:
Ba3Tl2H: optimized geometry, GGA-PBE.

Structure (POSCAR):
```
Ba3Tl2H
1.0
-7.9943 -0.8852 -0.2252
0.7494 -7.6729 3.5585
3.3901 4.6146 5.2619
Ba Tl H
6 4 2
direct
0.0359 0.4750 0.2539 Ba
0.2180 0.9750 0.2539 Ba
0.9641 0.5250 0.7461 Ba
0.4172 0.2500 0.0000 Ba
0.5828 0.7500 0.0000 Ba
0.7820 0.0250 0.7461 Ba
0.4980 0.3651 0.6212 Tl
0.5020 0.6349 0.3788 Tl
0.8768 0.1349 0.3788 Tl
0.1232 0.8651 0.6212 Tl
0.9130 0.7500 0.0000 H
0.0870 0.2500 0.0000 H
```

Computed properties:
Calculated total energy: -2.623 eV/atom
SG: C2/c (15)

Entry 11:
Ac2PmCd5: optimized geometry, GGA-PBE.

Structure (POSCAR):
```
Ac2PmCd5
1.0
5.3999 0.0000 0.0000
0.0000 5.3999 0.0000
-2.6999 -2.6999 7.9573
Cd Ac Pm
5 2 1
direct
0.6083 0.1083 0.2166 Cd
0.8917 0.3917 0.7834 Cd
0.1083 0.6083 0.2166 Cd
0.5000 0.5000 0.0000 Cd
0.3917 0.8917 0.7834 Cd
0.2639 0.2639 0.5277 Ac
0.7361 0.7361 0.4723 Ac
0.0000 0.0000 0.0000 Pm
```

Computed properties:
SG: I4/mmm (139)
Formation enthalpy at 0 K: -0.276 eV/atom

Entry 12:
BaVH: optimized geometry, GGA-PBE.

Structure (POSCAR):
```
BaVH
1.0
4.6586 -2.6897 0.0000
0.0000 5.3793 0.0000
0.0000 0.0000 6.8389
Ba V H
2 2 2
direct
0.6667 0.3333 0.7500 Ba
0.3333 0.6667 0.2500 Ba
0.3333 0.6667 0.7500 V
0.6667 0.3333 0.2500 V
0.0000 0.0000 0.0000 H
0.0000 0.0000 0.5000 H
```

Computed properties:
Calculated total energy: -3.413 eV/atom
SG: P6_3/mmc (194)